DFT (PBE) results for crystalline TiSIN2 at its relaxed geometry.

Cell lengths 3.9328, 3.9328, 5.4961 Å; angles 90.00, 90.00, 90.00 degrees
Space group P4/mmm (No. 123)
Symmetry-distinct sites (fractional):
Ti1 0.0000 0.0000 0.0000 x1
S1 0.0000 0.0000 0.5000 x1
I1 0.5000 0.5000 0.5000 x1
N1 0.0000 0.5000 0.0000 x2

Output
Energy above the most stable polymorph in this dataset: 0 meV/atom
Volume: 85 Å³ per cell
Mass density: 4.59 g cm⁻³
Energy: -5.520 eV/atom
Raw formation energy: 525 meV/atom


DFT (PBE) results for crystalline TiSIN2 at its relaxed geometry.

Cell lengths 3.7032, 3.7032, 6.1512 Å; angles 90.00, 90.00, 90.00 degrees
Space group P4/mmm (No. 123)
Symmetry-distinct sites (fractional):
Ti1 0.0000 0.0000 0.0000 x1
S1 0.5000 0.5000 0.5000 x1
I1 0.5000 0.5000 0.0000 x1
N1 0.0000 0.5000 0.5000 x2

Output
Energy above the most stable polymorph in this dataset: 1110 meV/atom
Volume: 84 Å³ per cell
Mass density: 4.62 g cm⁻³
Energy: -4.410 eV/atom
Raw formation energy: 1635 meV/atom


DFT (PBE) results for crystalline TiS2IN at its relaxed geometry.

Cell lengths 4.9743, 4.9743, 3.8150 Å; angles 90.00, 90.00, 90.00 degrees
Space group P4/mmm (No. 123)
Symmetry-distinct sites (fractional):
Ti1 0.0000 0.0000 0.0000 x1
S1 0.0000 0.5000 0.0000 x2
I1 0.5000 0.5000 0.5000 x1
N1 0.0000 0.0000 0.5000 x1

Output
Energy above the most stable polymorph in this dataset: 0 meV/atom
Volume: 94 Å³ per cell
Mass density: 4.45 g cm⁻³
Energy: -5.046 eV/atom
Raw formation energy: 159 meV/atom


DFT (PBE) results for crystalline TiS2IN at its relaxed geometry.

Cell lengths 5.1889, 5.1889, 3.8882 Å; angles 90.00, 90.00, 90.00 degrees
Space group P4/mmm (No. 123)
Symmetry-distinct sites (fractional):
Ti1 0.0000 0.0000 0.0000 x1
S1 0.0000 0.5000 0.5000 x2
I1 0.5000 0.5000 0.5000 x1
N1 0.5000 0.5000 0.0000 x1

Output
Energy above the most stable polymorph in this dataset: 992 meV/atom
Volume: 105 Å³ per cell
Mass density: 4.01 g cm⁻³
Energy: -4.055 eV/atom
Raw formation energy: 1150 meV/atom


DFT (PBE) results for crystalline VSI2N at its relaxed geometry.

Cell lengths 5.4872, 5.4872, 3.6624 Å; angles 90.00, 90.00, 90.00 degrees
Space group P4/mmm (No. 123)
Symmetry-distinct sites (fractional):
V1 0.0000 0.0000 0.0000 x1
S1 0.5000 0.5000 0.5000 x1
I1 0.0000 0.5000 0.0000 x2
N1 0.0000 0.0000 0.5000 x1

Output
Energy above the most stable polymorph in this dataset: 0 meV/atom
Volume: 110 Å³ per cell
Mass density: 5.28 g cm⁻³
Energy: -4.493 eV/atom
Raw formation energy: 442 meV/atom


DFT (PBE) results for crystalline VSI2N at its relaxed geometry.

Cell lengths 5.7658, 5.7658, 3.4052 Å; angles 90.00, 90.00, 90.00 degrees
Space group P4/mmm (No. 123)
Symmetry-distinct sites (fractional):
V1 0.0000 0.0000 0.0000 x1
S1 0.5000 0.5000 0.5000 x1
I1 0.0000 0.5000 0.5000 x2
N1 0.5000 0.5000 0.0000 x1

Output
Energy above the most stable polymorph in this dataset: 812 meV/atom
Volume: 113 Å³ per cell
Mass density: 5.15 g cm⁻³
Energy: -3.681 eV/atom
Raw formation energy: 1254 meV/atom


DFT (PBE) results for crystalline VS2IN at its relaxed geometry.

Cell lengths 5.1713, 5.1713, 3.8909 Å; angles 90.00, 90.00, 90.00 degrees
Space group P4/mmm (No. 123)
Symmetry-distinct sites (fractional):
V1 0.0000 0.0000 0.0000 x1
S1 0.0000 0.5000 0.5000 x2
I1 0.5000 0.5000 0.5000 x1
N1 0.5000 0.5000 0.0000 x1

Output
Energy above the most stable polymorph in this dataset: 1122 meV/atom
Volume: 104 Å³ per cell
Mass density: 4.09 g cm⁻³
Energy: -4.056 eV/atom
Raw formation energy: 1394 meV/atom


DFT (PBE) results for crystalline VS2IN at its relaxed geometry.

Cell lengths 4.8729, 4.8729, 3.6852 Å; angles 90.00, 90.00, 90.00 degrees
Space group P4/mmm (No. 123)
Symmetry-distinct sites (fractional):
V1 0.0000 0.0000 0.0000 x1
S1 0.0000 0.5000 0.0000 x2
I1 0.5000 0.5000 0.5000 x1
N1 0.0000 0.0000 0.5000 x1

Output
Energy above the most stable polymorph in this dataset: 0 meV/atom
Volume: 88 Å³ per cell
Mass density: 4.86 g cm⁻³
Energy: -5.178 eV/atom
Raw formation energy: 272 meV/atom